Entry 1:
Entry from the Alexandria database: a PBEsol-optimized structure of Co2SbRu (SCAN).

Structure (extended XYZ):
```
4
Lattice="2.5978 -4.3575 0.0000 2.5978 4.3575 0.0000 -1.4529 0.0000 2.4710" Properties=species:S:1:pos:R:3 pbc="T T T"
Co 1.2989 2.1788 0.0000
Co 1.2989 -2.1788 0.0000
Sb -0.7265 0.0000 1.2355
Ru 1.8713 0.0000 1.2355
```

Values from the calculation:
* crystal system: monoclinic
* ΔE_f (raw): 141 kJ/mol of formula units
* raw total energy: -26.309 eV/atom
* volume: 56 Å³/f.u.
* magnetic moment: 4.29 μB/f.u.
* symmetry: C2/m

=====

Entry 2:
Entry from the Alexandria database: a PBEsol-optimized structure of CoSbRu4 (SCAN).

Structure (extended XYZ):
```
6
Lattice="0.0000 3.5686 3.5686 3.5686 0.0000 3.5686 3.5686 3.5686 0.0000" Properties=species:S:1:pos:R:3 pbc="T T T"
Co 0.0000 0.0000 0.0000
Sb 5.3529 5.3529 5.3529
Ru 2.6729 2.6729 2.6729
Ru 4.4642 4.4642 2.6729
Ru 4.4642 2.6729 4.4642
Ru 2.6729 4.4642 4.4642
```

Values from the calculation:
* crystal system: cubic
* ΔE_f (raw): 388 kJ/mol of formula units
* raw total energy: -31.641 eV/atom
* volume: 91 Å³/f.u.
* magnetic moment: 5.81 μB/f.u.
* symmetry: F-43m